# 1
Density functional theory data (PBE+U) for crystalline MnBPb2O at its relaxed geometry.

Output
D(E_F) in states/eV per cell: 2.166
DFT total energy in eV/atom: -4.357

Unit cell a=5.1843 b=3.8557 c=5.1843 alpha=90.00 beta=90.00 gamma=90.00
Last column: nearest neighbours and their distance in Å.
Atoms (fractional coordinates):
Mn1 0.0000 0.0000 0.0000  2 B 1.93
Pb1 0.0000 0.0000 0.5000  2 Mn 2.59
O1 0.5000 0.5000 0.5000  8 Pb 3.23
B1 0.0000 0.5000 0.0000  2 Mn 1.93
Pb2 0.5000 0.0000 0.0000  2 Mn 2.59


# 2
Density functional theory data (PBE+U) for crystalline PmMnB2O6 at its relaxed geometry.

Output
D(E_F) in states/eV per cell: 5.301
DFT total energy in eV/atom: -8.011

Unit cell a=4.8994 b=4.8994 c=6.1083 alpha=66.36 beta=66.36 gamma=60.00
Last column: nearest neighbours and their distance in Å.
Atoms (fractional coordinates):
Pm1 0.5000 0.5000 0.5000  6 O 2.39
O1 0.0080 0.4453 0.7715  1 B 1.39
O2 0.2248 0.9920 0.2285  1 B 1.39
B1 0.2607 0.2607 0.2180  3 O 1.39
B2 0.7393 0.7393 0.7820  3 O 1.39
O3 0.5547 0.2248 0.2285  1 B 1.39
O4 0.9920 0.5547 0.2285  1 B 1.39
O5 0.7752 0.0080 0.7715  1 B 1.39
Mn1 0.0000 0.0000 0.0000  6 O 2.08
O6 0.4453 0.7752 0.7715  1 B 1.39


# 3
Density functional theory data (PBE+U) for crystalline PmMn2B2O6 at its relaxed geometry.

Output
D(E_F) in states/eV per cell: 1.152
DFT total energy in eV/atom: -7.937

Unit cell a=5.0763 b=5.0763 c=7.5205 alpha=90.00 beta=90.00 gamma=120.00
Last column: nearest neighbours and their distance in Å.
Atoms (fractional coordinates):
Pm1 0.0000 0.0000 0.0000  6 O 2.38
Mn1 0.6667 0.3333 0.6787  3 O 2.08
O1 0.3956 0.0578 0.1942  1 B 1.39
B1 0.3333 0.6667 0.8023  3 O 1.39
O2 0.9422 0.3378 0.1942  1 B 1.39
O3 0.6622 0.6044 0.1942  1 B 1.39
O4 0.0578 0.6622 0.8058  1 B 1.39
O5 0.3378 0.3956 0.8058  1 B 1.39
B2 0.6667 0.3333 0.1977  3 O 1.39
O6 0.6044 0.9422 0.8058  1 B 1.39
Mn2 0.3333 0.6667 0.3213  3 O 2.08